First-principles (PBE-GGA) data for a relaxed structure of TbPr5In3, as listed in the Alexandria database.

The space group is Cmcm (No. 63) and the conventional cell measures 16.701, 9.651 and 6.964 Å, with angles of 90.00, 90.00 and 90.00 degrees. The inequivalent atoms are Tb at (0.000, 0.000, 0.000), Pr at (0.000, 0.338, 0.250), Pr at (0.166, 0.500, 0.000), Pr at (0.169, 0.169, 0.750), In at (0.000, 0.324, 0.750) and In at (0.162, 0.162, 0.250).

The total energy comes out at -4.42 eV/atom.